No. 1
Computed, not measured: crystalline Cr3GeF at its relaxed geometry at the GGA-PBEsol level of DFT.

It has space group Pm-3m (No. 221), with a = 4.311 Å, b = 4.311 Å, c = 4.311 Å, α = 90.00°, β = 90.00° and γ = 90.00°. Symmetry generates all atoms from Cr at (0.000, 0.000, 0.500), Ge at (0.500, 0.500, 0.500) and F at (0.000, 0.000, 0.000).

As for the density: 5.1 g cm⁻³. For the formation energy from raw total energies, the calculation gives 443.0 meV per atom.

***

No. 2
Computed, not measured: crystalline CaZn2Cu at its relaxed geometry at the GGA-PBEsol level of DFT.

It has space group P4/mmm (No. 123), with a = 3.165 Å, b = 3.165 Å, c = 6.853 Å, α = 90.00°, β = 90.00° and γ = 90.00°. Symmetry generates all atoms from Ca at (0.000, 0.000, 0.000), Zn at (0.500, 0.500, 0.310) and Cu at (0.000, 0.000, 0.500).

As for the density: 5.7 g cm⁻³. The calculation puts the formation energy from the elements at -0.087 eV/atom.

***

No. 3
Computed, not measured: crystalline Y3CrPd at its relaxed geometry at the GGA-PBEsol level of DFT.

It has space group Pm-3m (No. 221), with a = 5.319 Å, b = 5.319 Å, c = 5.319 Å, α = 90.00°, β = 90.00° and γ = 90.00°. Symmetry generates all atoms from Y at (0.000, 0.000, 0.500), Cr at (0.500, 0.500, 0.500) and Pd at (0.000, 0.000, 0.000).

As for the density: 4.7 g cm⁻³. The calculation puts the formation energy from the elements at 0.323 eV/atom.

***

No. 4
Computed, not measured: crystalline Rb3ZnH5 at its relaxed geometry at the GGA-PBEsol level of DFT.

It has space group I4/mcm (No. 140), with a = 7.669 Å, b = 7.669 Å, c = 11.429 Å, α = 90.00°, β = 90.00° and γ = 90.00°. Symmetry generates all atoms from Rb at (0.000, 0.000, 0.250), Rb at (0.178, 0.322, 0.000), Zn at (0.000, 0.500, 0.250), H at (0.000, 0.000, 0.000) and H at (0.123, 0.377, 0.335).

As for the density: 3.2 g cm⁻³.

***

No. 5
Computed, not measured: crystalline NbWNF2 at its relaxed geometry at the GGA-PBEsol level of DFT.

It has space group P4/mmm (No. 123), with a = 4.076 Å, b = 4.076 Å, c = 4.165 Å, α = 90.00°, β = 90.00° and γ = 90.00°. Symmetry generates all atoms from Nb at (0.000, 0.000, 0.000), W at (0.500, 0.500, 0.500), N at (0.000, 0.000, 0.500) and F at (0.000, 0.500, 0.000).

As for the density: 7.9 g cm⁻³. For the formation energy from raw total energies, the calculation gives 15.7 meV per atom.

***

No. 6
Computed, not measured: crystalline LaRh2Br at its relaxed geometry at the GGA-PBEsol level of DFT.

It has space group P4/mmm (No. 123), with a = 4.205 Å, b = 4.205 Å, c = 4.219 Å, α = 90.00°, β = 90.00° and γ = 90.00°. Symmetry generates all atoms from La at (0.000, 0.000, 0.000), Rh at (0.000, 0.500, 0.500) and Br at (0.500, 0.500, 0.000).

As for the density: 9.4 g cm⁻³. For the formation energy from raw total energies, the calculation gives -217.1 meV per atom. The energy above the most stable polymorph in this dataset comes out at 0 meV/atom.

***

No. 7
Computed, not measured: crystalline Li2ZnSn at its relaxed geometry at the GGA-PBEsol level of DFT.

It has space group Fm-3m (No. 225), with a = 6.392 Å, b = 6.392 Å, c = 6.392 Å, α = 90.00°, β = 90.00° and γ = 90.00°. Symmetry generates all atoms from Li at (0.250, 0.250, 0.250), Zn at (0.000, 0.000, 0.000) and Sn at (0.000, 0.000, 0.500).

As for the density: 5.0 g cm⁻³. The calculation puts the formation energy from the elements at -0.272 eV/atom.

***

No. 8
Computed, not measured: crystalline Co2TeSe at its relaxed geometry at the GGA-PBEsol level of DFT.

It has space group I-4m2 (No. 119), with a = 3.624 Å, b = 3.624 Å, c = 9.212 Å, α = 90.00°, β = 90.00° and γ = 90.00°. Symmetry generates all atoms from Co at (0.000, 0.000, 0.000), Co at (0.000, 0.500, 0.250), Te at (0.000, 0.500, 0.750) and Se at (0.000, 0.000, 0.500).

As for the density: 8.9 g cm⁻³. For the formation energy from raw total energies, the calculation gives 452.2 meV per atom.

***

No. 9
Computed, not measured: crystalline BeCr2Cd at its relaxed geometry at the GGA-PBEsol level of DFT.

It has space group P4/mmm (No. 123), with a = 3.007 Å, b = 3.007 Å, c = 5.601 Å, α = 90.00°, β = 90.00° and γ = 90.00°. Symmetry generates all atoms from Be at (0.000, 0.000, 0.000), Cr at (0.500, 0.500, 0.175) and Cd at (0.000, 0.000, 0.500).

As for the density: 7.4 g cm⁻³. The calculation puts the formation energy from the elements at 0.351 eV/atom. The energy above the most stable polymorph in this dataset comes out at 0 meV/atom.

***

No. 10
Computed, not measured: crystalline Y2CrCd at its relaxed geometry at the GGA-PBEsol level of DFT.

It has space group F-43m (No. 216), with a = 7.117 Å, b = 7.117 Å, c = 7.117 Å, α = 90.00°, β = 90.00° and γ = 90.00°. Symmetry generates all atoms from Y at (0.000, 0.000, 0.000), Y at (0.250, 0.250, 0.250), Cr at (0.000, 0.000, 0.500) and Cd at (0.250, 0.250, 0.750).

As for the density: 6.3 g cm⁻³. The calculation puts the formation energy from the elements at 0.239 eV/atom.

***

No. 11
Computed, not measured: crystalline TiBeNb2 at its relaxed geometry at the GGA-PBEsol level of DFT.

It has space group I-42d (No. 122), with a = 7.026 Å, b = 7.026 Å, c = 5.126 Å, α = 90.00°, β = 90.00° and γ = 90.00°. Symmetry generates all atoms from Ti at (0.000, 0.000, 0.000), Be at (0.000, 0.000, 0.500) and Nb at (0.221, 0.750, 0.625).

As for the density: 6.4 g cm⁻³. The calculation puts the formation energy from the elements at 0.408 eV/atom.

***

No. 12
Computed, not measured: crystalline CaTlSe2 at its relaxed geometry at the GGA-PBEsol level of DFT.

It has space group P4/mmm (No. 123), with a = 4.166 Å, b = 4.166 Å, c = 5.959 Å, α = 90.00°, β = 90.00° and γ = 90.00°. Symmetry generates all atoms from Ca at (0.000, 0.000, 0.000), Tl at (0.500, 0.500, 0.500), Se at (0.000, 0.000, 0.500) and Se at (0.500, 0.500, 0.000).

As for the density: 6.5 g cm⁻³. For the formation energy from raw total energies, the calculation gives -1128.0 meV per atom.

***

Number 1: energy -7.08 eV/atom. Number 2: energy -2.50 eV/atom. Number 3: energy -7.01 eV/atom. Number 4: energy -2.57 eV/atom. Number 5: energy -7.39 eV/atom. Number 6: energy -6.09 eV/atom. Number 7: energy -2.72 eV/atom. Number 8: energy -5.26 eV/atom. Number 9: energy -6.07 eV/atom. Number 10: energy -6.03 eV/atom. Number 11: energy -8.08 eV/atom. Number 12: energy -4.24 eV/atom.